# 1
# Pr8Ho5Er, relaxed, DFT PBE
data_Pr8Ho5Er
_chemical_formula_sum 'Pr16 Ho10 Er2'
_space_group_name_H-M_alt 'C 1 2 1'
_space_group_IT_number 5
_cell_length_a 13.063
_cell_length_b 11.275
_cell_length_c 9.186
_cell_angle_alpha 90.00
_cell_angle_beta 134.04
_cell_angle_gamma 90.00
loop_
_space_group_symop_operation_xyz
'x,y,z'
'-x,y,-z'
'x+1/2,y+1/2,z'
'-x+1/2,y+1/2,-z'
loop_
_atom_site_label
_atom_site_type_symbol
_atom_site_fract_x
_atom_site_fract_y
_atom_site_fract_z
Pr1 Pr 0.061 0.000 0.278
Pr2 Pr 0.064 0.558 0.290
Pr3 Pr 0.155 0.278 0.046
Pr4 Pr 0.200 0.086 0.769
Ho1 Ho 0.000 0.775 0.500
Ho2 Ho 0.183 0.280 0.462
Ho3 Ho 0.195 0.472 0.761
Er1 Er 0.000 0.778 0.000
# Calculated total energy ... -4.52 eV per atom
# Spin magnetization ... 0.00 μB per formula unit
# Crystal system ... monoclinic
# DFT formation energy ... 2.36 eV/f.u.

***

# 2
# Pr4HoEr6, relaxed, DFT PBE
data_Pr4HoEr6
_chemical_formula_sum 'Pr8 Ho2 Er12'
_space_group_name_H-M_alt 'I -4 2 m'
_space_group_IT_number 121
_space_group_name_Hall 'I -4 2'
_cell_length_a 6.674
_cell_length_b 6.674
_cell_length_c 16.961
_cell_angle_alpha 90.00
_cell_angle_beta 90.00
_cell_angle_gamma 90.00
loop_
_atom_site_label
_atom_site_type_symbol
_atom_site_fract_x
_atom_site_fract_y
_atom_site_fract_z
Pr1 Pr 0.190 0.190 0.176
Ho1 Ho 0.000 0.000 0.000
Er1 Er 0.000 0.500 0.000
Er2 Er 0.178 0.178 0.377
# Calculated total energy ... -4.35 eV per atom
# Energy relative to the lowest polymorph listed for this composition ... 0 meV/atom
# Spin magnetization ... 0.00 μB per formula unit
# Crystal system ... tetragonal
# DFT formation energy ... 3.24 eV/f.u.

***

# 3
# Pr6Ho4Er, relaxed, DFT PBE
data_Pr6Ho4Er
_chemical_formula_sum 'Pr6 Ho4 Er1'
_space_group_name_H-M_alt 'P -6 m 2'
_space_group_IT_number 187
_space_group_name_Hall 'P -6 2'
_cell_length_a 11.1128
_cell_length_b 11.1128
_cell_length_c 3.5781
_cell_angle_alpha 90.00
_cell_angle_beta 90.00
_cell_angle_gamma 120.00
loop_
_atom_site_label
_atom_site_type_symbol
_atom_site_fract_x
_atom_site_fract_y
_atom_site_fract_z
Pr1 Pr 0.1816 0.3632 0.0000
Pr2 Pr 0.5274 0.0549 0.5000
Ho1 Ho 0.3137 0.1568 0.0000
Ho2 Ho 0.3333 0.6667 0.5000
Er1 Er 0.0000 0.0000 0.5000
# Calculated total energy ... -4.55 eV per atom
# Energy relative to the lowest polymorph listed for this composition ... 0 meV/atom
# Spin magnetization ... 0.00 μB per formula unit
# Crystal system ... hexagonal
# DFT formation energy ... 1.53 eV/f.u.

***

# 4
# Pr12Ho5Er2, relaxed, DFT PBE
data_Pr12Ho5Er2
_chemical_formula_sum 'Pr24 Ho10 Er4'
_space_group_name_H-M_alt 'C 1 2/m 1'
_space_group_IT_number 12
_cell_length_a 15.173
_cell_length_b 10.738
_cell_length_c 8.158
_cell_angle_alpha 90.00
_cell_angle_beta 94.36
_cell_angle_gamma 90.00
loop_
_space_group_symop_operation_xyz
'x,y,z'
'-x,-y,-z'
'-x,y,-z'
'x,-y,z'
'x+1/2,y+1/2,z'
'-x+1/2,-y+1/2,-z'
'-x+1/2,y+1/2,-z'
'x+1/2,-y+1/2,z'
loop_
_atom_site_label
_atom_site_type_symbol
_atom_site_fract_x
_atom_site_fract_y
_atom_site_fract_z
Pr1 Pr 0.056 0.000 0.214
Pr2 Pr 0.107 0.228 0.885
Pr3 Pr 0.129 0.500 0.604
Pr4 Pr 0.183 0.277 0.292
Ho1 Ho 0.000 0.500 0.000
Ho2 Ho 0.156 0.000 0.599
Ho3 Ho 0.241 0.500 0.989
Er1 Er 0.000 0.227 0.500
# Calculated total energy ... -4.58 eV per atom
# Energy relative to the lowest polymorph listed for this composition ... 29 meV/atom
# Spin magnetization ... 0.00 μB per formula unit
# Crystal system ... monoclinic
# DFT formation energy ... 2.42 eV/f.u.

***

# 5
# Pr7HoEr12, relaxed, DFT PBE
data_Pr7HoEr12
_chemical_formula_sum 'Pr21 Ho3 Er36'
_space_group_name_H-M_alt 'R -3'
_space_group_IT_number 148
_space_group_name_Hall '-R 3'
_cell_length_a 11.9696
_cell_length_b 11.9696
_cell_length_c 16.2662
_cell_angle_alpha 90.00
_cell_angle_beta 90.00
_cell_angle_gamma 120.00
loop_
_atom_site_label
_atom_site_type_symbol
_atom_site_fract_x
_atom_site_fract_y
_atom_site_fract_z
Pr1 Pr 0.0000 0.0000 0.0000
Pr2 Pr 0.0556 0.8693 0.2876
Ho1 Ho 0.0000 0.0000 0.5000
Er1 Er 0.0268 0.5777 0.2216
Er2 Er 0.0531 0.4673 0.5830
# Calculated total energy ... -4.41 eV per atom
# Energy relative to the lowest polymorph listed for this composition ... 0 meV/atom
# Spin magnetization ... 0.00 μB per formula unit
# Crystal system ... trigonal
# DFT formation energy ... 4.55 eV/f.u.

***

# 6
# Pr2Ho8Er, relaxed, DFT PBE
data_Pr2Ho8Er
_chemical_formula_sum 'Pr4 Ho16 Er2'
_space_group_name_H-M_alt 'C 1 2/m 1'
_space_group_IT_number 12
_cell_length_a 16.494
_cell_length_b 6.616
_cell_length_c 6.673
_cell_angle_alpha 90.00
_cell_angle_beta 100.35
_cell_angle_gamma 90.00
loop_
_space_group_symop_operation_xyz
'x,y,z'
'-x,-y,-z'
'-x,y,-z'
'x,-y,z'
'x+1/2,y+1/2,z'
'-x+1/2,-y+1/2,-z'
'-x+1/2,y+1/2,-z'
'x+1/2,-y+1/2,z'
loop_
_atom_site_label
_atom_site_type_symbol
_atom_site_fract_x
_atom_site_fract_y
_atom_site_fract_z
Pr1 Pr 0.245 0.000 0.311
Ho1 Ho 0.086 0.261 0.398
Ho2 Ho 0.089 0.500 0.908
Ho3 Ho 0.197 0.000 0.802
Er1 Er 0.000 0.000 0.000
# Calculated total energy ... -4.44 eV per atom
# Energy relative to the lowest polymorph listed for this composition ... 14 meV/atom
# Spin magnetization ... 0.00 μB per formula unit
# Crystal system ... monoclinic
# DFT formation energy ... 1.91 eV/f.u.

***

# 7
# Pr2Ho4Er, relaxed, DFT PBE
data_Pr2Ho4Er
_chemical_formula_sum 'Pr4 Ho8 Er2'
_space_group_name_H-M_alt 'I 4/m m m'
_space_group_IT_number 139
_space_group_name_Hall '-I 4 2'
_cell_length_a 8.441
_cell_length_b 8.441
_cell_length_c 6.542
_cell_angle_alpha 90.00
_cell_angle_beta 90.00
_cell_angle_gamma 90.00
loop_
_atom_site_label
_atom_site_type_symbol
_atom_site_fract_x
_atom_site_fract_y
_atom_site_fract_z
Pr1 Pr 0.000 0.500 0.250
Ho1 Ho 0.198 0.198 0.000
Er1 Er 0.000 0.000 0.500
# Calculated total energy ... -4.37 eV per atom
# Energy relative to the lowest polymorph listed for this composition ... 248 meV/atom
# Spin magnetization ... 0.00 μB per formula unit
# Crystal system ... tetragonal
# DFT formation energy ... 1.86 eV/f.u.

***

# 8
# Pr2Ho5Er12, relaxed, DFT PBE
data_Pr2Ho5Er12
_chemical_formula_sum 'Pr4 Ho10 Er24'
_space_group_name_H-M_alt 'C 1 2/m 1'
_space_group_IT_number 12
_cell_length_a 15.709
_cell_length_b 9.169
_cell_length_c 8.457
_cell_angle_alpha 90.00
_cell_angle_beta 91.12
_cell_angle_gamma 90.00
loop_
_space_group_symop_operation_xyz
'x,y,z'
'-x,-y,-z'
'-x,y,-z'
'x,-y,z'
'x+1/2,y+1/2,z'
'-x+1/2,-y+1/2,-z'
'-x+1/2,y+1/2,-z'
'x+1/2,-y+1/2,z'
loop_
_atom_site_label
_atom_site_type_symbol
_atom_site_fract_x
_atom_site_fract_y
_atom_site_fract_z
Pr1 Pr 0.000 0.187 0.000
Ho1 Ho 0.000 0.500 0.500
Ho2 Ho 0.197 0.000 0.008
Ho3 Ho 0.233 0.500 0.578
Er1 Er 0.057 0.000 0.329
Er2 Er 0.095 0.500 0.883
Er3 Er 0.127 0.192 0.651
Er4 Er 0.157 0.319 0.247
# Calculated total energy ... -4.45 eV per atom
# Energy relative to the lowest polymorph listed for this composition ... 113 meV/atom
# Spin magnetization ... 0.00 μB per formula unit
# Crystal system ... monoclinic
# DFT formation energy ... 2.56 eV/f.u.

***

# 9
# Pr3Ho2Er7, relaxed, DFT PBE
data_Pr3Ho2Er7
_chemical_formula_sum 'Pr3 Ho2 Er7'
_space_group_name_H-M_alt 'P 1 2/m 1'
_space_group_IT_number 10
_cell_length_a 5.812
_cell_length_b 3.564
_cell_length_c 18.772
_cell_angle_alpha 90.00
_cell_angle_beta 93.01
_cell_angle_gamma 90.00
loop_
_space_group_symop_operation_xyz
'x,y,z'
'-x,-y,-z'
'-x,y,-z'
'x,-y,z'
loop_
_atom_site_label
_atom_site_type_symbol
_atom_site_fract_x
_atom_site_fract_y
_atom_site_fract_z
Pr1 Pr 0.000 0.000 0.000
Pr2 Pr 0.278 0.500 0.633
Ho1 Ho 0.210 0.000 0.292
Er1 Er 0.192 0.500 0.144
Er2 Er 0.243 0.000 0.462
Er3 Er 0.306 0.000 0.825
Er4 Er 0.500 0.500 0.000
# Calculated total energy ... -4.53 eV per atom
# Energy relative to the lowest polymorph listed for this composition ... 0 meV/atom
# Spin magnetization ... 0.00 μB per formula unit
# Crystal system ... monoclinic
# DFT formation energy ... 1.07 eV/f.u.

***

# 10
# Pr4Ho2Er3, relaxed, DFT PBE
data_Pr4Ho2Er3
_chemical_formula_sum 'Pr8 Ho4 Er6'
_space_group_name_H-M_alt 'P -1'
_space_group_IT_number 2
_cell_length_a 7.119
_cell_length_b 8.541
_cell_length_c 10.425
_cell_angle_alpha 99.15
_cell_angle_beta 100.26
_cell_angle_gamma 101.78
loop_
_space_group_symop_operation_xyz
'x,y,z'
'-x,-y,-z'
loop_
_atom_site_label
_atom_site_type_symbol
_atom_site_fract_x
_atom_site_fract_y
_atom_site_fract_z
Pr1 Pr 0.023 0.164 0.444
Pr2 Pr 0.142 0.828 0.236
Pr3 Pr 0.324 0.475 0.335
Pr4 Pr 0.443 0.164 0.109
Ho1 Ho 0.059 0.834 0.891
Ho2 Ho 0.175 0.524 0.663
Er1 Er 0.250 0.500 0.998
Er2 Er 0.362 0.176 0.761
Er3 Er 0.475 0.836 0.556
# Calculated total energy ... -4.62 eV per atom
# Energy relative to the lowest polymorph listed for this composition ... 0 meV/atom
# Spin magnetization ... 0.00 μB per formula unit
# Crystal system ... triclinic
# DFT formation energy ... 0.42 eV/f.u.